! ZnCd2Br (PBE, relaxed); values from VASP
&SYSTEM
  ibrav = 0, nat = 16, ntyp = 3
/
ATOMIC_SPECIES
Zn 65.41 Zn.upf
Cd 112.41 Cd.upf
Br 79.90 Br.upf
CELL_PARAMETERS angstrom
7.465 0.000 0.000
0.000 7.465 0.000
0.000 0.000 7.465
ATOMIC_POSITIONS angstrom
Zn 0.000 0.000 0.000
Zn 0.000 3.733 3.733
Zn 3.733 0.000 3.733
Zn 3.733 3.733 0.000
Cd 1.866 1.866 1.866
Cd 1.866 1.866 5.599
Cd 1.866 5.599 1.866
Cd 1.866 5.599 5.599
Cd 5.599 1.866 1.866
Cd 5.599 1.866 5.599
Cd 5.599 5.599 1.866
Cd 5.599 5.599 5.599
Br 0.000 0.000 3.733
Br 0.000 3.733 0.000
Br 3.733 0.000 0.000
Br 3.733 3.733 3.733
! DFT total energy, eV/f.u.: -4.3
! Formation energy (no corrections), kcal/mol of atoms: 2.85